(1)
Computed, not measured: crystalline NaLa2I4 at its relaxed geometry at the PBE-GGA level of DFT.

Computed properties:
The formation energy without anion corrections is -1.182 eV per atom. As for the space group: No. 44.

POSCAR file:
```
NaLa2I4
1.0
-1.655 4.697 -7.425
5.930 -6.192 -2.534
-7.641 -3.333 3.230
Na La I
2 4 8
Cartesian
0.028 -5.072 -1.712
0.412 -0.144 -0.960
-4.389 -1.643 -3.429
2.297 -3.630 -6.270
-1.167 -0.129 -4.642
-3.515 -4.239 0.976
-2.373 2.105 -6.678
1.086 -2.448 -3.202
-3.123 -2.071 -6.373
-6.384 0.895 -3.450
-2.504 0.326 -1.699
-5.857 -1.889 -0.256
-2.990 -4.579 -2.400
0.907 -0.697 -7.319
```


(2)
Computed, not measured: crystalline NaLaI2 at its relaxed geometry at the PBE-GGA level of DFT.

Computed properties:
The formation energy without anion corrections is -1.056 eV per atom. As for the distance to the lowest polymorph of the same formula: 0.0101 eV/atom. As for the space group: No. 187.

POSCAR file:
```
NaLaI2
1.0
-0.454 -2.108 3.551
1.549 -6.127 -3.440
8.843 1.199 1.844
Na La I
2 2 4
Cartesian
6.552 -4.700 -0.975
5.549 -2.690 2.519
2.128 -5.297 -1.895
1.127 -3.287 1.600
3.925 -5.022 0.928
8.206 -4.442 1.821
3.377 -0.904 0.872
7.658 -0.325 1.765
```


(3)
Computed, not measured: crystalline NaLaI at its relaxed geometry at the PBE-GGA level of DFT.

Computed properties:
The formation energy without anion corrections is -0.617 eV per atom. As for the space group: No. 187.

POSCAR file:
```
NaLaI
1.0
3.969 0.000 0.000
-1.985 3.438 0.000
0.000 0.000 16.198
La Na I
2 2 2
Cartesian
1.985 0.766 0.000
0.000 1.910 8.099
1.985 0.761 4.936
1.985 0.761 11.262
0.000 1.912 13.832
0.000 1.912 2.366
```


(4)
Computed, not measured: crystalline Na2La2I7 at its relaxed geometry at the PBE-GGA level of DFT.

Computed properties:
The formation energy without anion corrections is -1.290 eV per atom. As for the space group: No. 12.

POSCAR file:
```
Na2La2I7
1.0
8.445 0.229 0.331
-0.693 8.501 -0.138
-0.693 -3.114 7.911
Na La I
2 2 7
Cartesian
3.529 0.448 5.688
3.529 5.168 2.417
7.144 1.871 2.700
-0.085 3.745 5.405
1.242 6.352 4.320
5.816 3.802 0.641
5.816 -0.735 3.785
1.242 1.814 7.464
0.000 0.000 0.000
5.345 3.398 4.904
1.713 2.218 3.201
```


(5)
Computed, not measured: crystalline Na3LaI at its relaxed geometry at the PBE-GGA level of DFT.

Computed properties:
The formation energy without anion corrections is 0.128 eV per atom. As for the space group: No. 221.

POSCAR file:
```
Na3LaI
1.0
-2.906 -0.521 4.973
-3.988 -3.228 -2.669
3.016 -4.770 1.263
I Na La
1 3 1
Cartesian
0.000 0.000 0.000
-1.994 -1.614 -1.334
1.508 -2.385 0.631
-1.453 -0.261 2.486
-1.939 -4.260 1.783
```


(6)
Computed, not measured: crystalline Na2La2I at its relaxed geometry at the PBE-GGA level of DFT.

Computed properties:
The formation energy without anion corrections is -0.136 eV per atom. As for the space group: No. 127.

POSCAR file:
```
Na2La2I
1.0
-4.384 0.412 6.803
4.106 -6.296 3.028
4.135 3.866 2.431
I Na La
2 4 4
Cartesian
0.000 0.000 0.000
-0.139 -2.942 4.915
4.077 -2.135 4.266
2.654 -3.108 8.235
-0.220 0.117 7.995
1.203 1.090 4.027
1.952 -5.294 5.099
-1.182 -3.643 7.806
-2.230 -0.590 4.732
0.904 -2.240 2.025
```


(7)
Computed, not measured: crystalline NaLaI2 at its relaxed geometry at the PBE-GGA level of DFT.

Computed properties:
The formation energy without anion corrections is -0.738 eV per atom. As for the distance to the lowest polymorph of the same formula: 0.3281 eV/atom. As for the space group: No. 122.

POSCAR file:
```
NaLaI2
1.0
7.826 0.000 0.000
0.000 7.826 0.000
3.913 3.913 5.997
I Na La
4 2 2
Cartesian
5.688 1.956 1.499
2.138 5.869 1.499
5.869 6.051 4.498
9.782 9.601 4.498
3.913 3.913 0.000
3.913 7.826 2.999
0.000 0.000 0.000
7.826 3.913 2.999
```


(8)
Computed, not measured: crystalline Na2LaI at its relaxed geometry at the PBE-GGA level of DFT.

Computed properties:
The formation energy without anion corrections is 0.111 eV per atom. As for the space group: No. 225.

POSCAR file:
```
Na2LaI
1.0
0.000 4.101 4.101
4.101 0.000 4.101
4.101 4.101 0.000
I Na La
1 2 1
Cartesian
0.000 0.000 0.000
2.050 2.050 2.050
6.151 6.151 6.151
4.101 4.101 4.101
```


(9)
Computed, not measured: crystalline NaLaI2 at its relaxed geometry at the PBE-GGA level of DFT.

Computed properties:
The formation energy without anion corrections is -1.023 eV per atom. As for the distance to the lowest polymorph of the same formula: 0.0434 eV/atom. As for the space group: No. 123.

POSCAR file:
```
NaLaI2
1.0
-0.114 -0.587 -3.992
3.617 -1.785 0.159
-3.479 -6.951 1.121
I Na La
2 1 1
Cartesian
-2.661 -5.316 0.858
-0.818 -1.635 0.264
0.012 -4.661 -1.356
1.752 -1.186 -1.916
```


(10)
Computed, not measured: crystalline NaLaI2 at its relaxed geometry at the PBE-GGA level of DFT.

Computed properties:
The formation energy without anion corrections is -0.998 eV per atom. As for the distance to the lowest polymorph of the same formula: 0.0680 eV/atom. As for the space group: No. 166.

POSCAR file:
```
NaLaI2
1.0
4.167 0.000 0.000
2.083 3.609 0.000
2.083 1.203 10.966
I Na La
2 1 1
Cartesian
2.083 1.203 7.703
6.250 3.609 3.264
0.000 0.000 0.000
4.167 2.406 5.483
```


(11)
Computed, not measured: crystalline NaLaI2 at its relaxed geometry at the PBE-GGA level of DFT.

Computed properties:
The formation energy without anion corrections is -0.832 eV per atom. As for the distance to the lowest polymorph of the same formula: 0.2337 eV/atom. As for the space group: No. 225.

POSCAR file:
```
NaLaI2
1.0
0.000 4.015 4.015
4.015 0.000 4.015
4.015 4.015 0.000
I Na La
2 1 1
Cartesian
2.007 2.007 2.007
6.022 6.022 6.022
0.000 0.000 0.000
4.015 4.015 4.015
```


(12)
Computed, not measured: crystalline NaLaIO6 at its relaxed geometry at the PBE-GGA level of DFT.

Computed properties:
The formation energy without anion corrections is -1.386 eV per atom. As for the space group: No. 149.

POSCAR file:
```
NaLaIO6
1.0
-1.751 4.075 -2.294
-1.301 -3.078 -4.475
-3.737 0.697 4.092
Na La I O
1 1 1 6
Cartesian
-2.988 0.218 -2.767
-2.925 -0.561 1.236
-0.876 2.038 -1.147
-4.902 1.223 -1.877
-5.309 2.769 1.181
-2.329 3.087 -0.529
-1.912 0.510 -0.713
-5.126 -0.360 0.194
-3.225 1.629 2.277
```


(13)
Computed, not measured: crystalline RbNa2LaI6 at its relaxed geometry at the PBE-GGA level of DFT.

Computed properties:
The formation energy without anion corrections is -1.403 eV per atom. As for the space group: No. 146.

POSCAR file:
```
RbNa2LaI6
1.0
8.337 0.001 0.001
4.169 7.219 0.001
4.169 2.407 7.652
Rb Na La I
1 2 1 6
Cartesian
12.505 7.221 4.436
8.335 4.812 3.455
4.170 2.408 7.606
4.168 2.407 0.188
6.925 2.365 1.802
6.923 7.259 1.803
11.163 4.815 1.803
9.141 7.109 5.763
9.924 2.970 5.763
5.948 4.362 5.763
```


(14)
Computed, not measured: crystalline NaLaRhI2 at its relaxed geometry at the PBE-GGA level of DFT.

Computed properties:
The formation energy without anion corrections is 0.483 eV per atom. As for the space group: No. 123.

POSCAR file:
```
NaLaRhI2
1.0
-4.470 -0.215 2.769
3.151 -2.378 4.902
0.879 4.867 1.796
I Na Rh La
2 1 1 1
Cartesian
0.440 2.434 0.898
-2.235 -0.107 1.385
0.000 0.000 0.000
-0.220 1.137 4.734
1.576 -1.189 2.451
```


(15)
Computed, not measured: crystalline NaLaSbI2 at its relaxed geometry at the PBE-GGA level of DFT.

Computed properties:
The formation energy without anion corrections is -0.715 eV per atom. As for the distance to the lowest polymorph of the same formula: 0.0000 eV/atom. As for the space group: No. 123.

POSCAR file:
```
NaLaSbI2
1.0
6.318 0.000 0.000
0.000 6.318 0.000
0.000 0.000 6.205
I Sb Na La
2 1 1 1
Cartesian
0.000 3.159 0.000
3.159 0.000 0.000
0.000 0.000 3.102
3.159 3.159 3.102
0.000 0.000 0.000
```


(16)
Computed, not measured: crystalline NaLaSbI2 at its relaxed geometry at the PBE-GGA level of DFT.

Computed properties:
The formation energy without anion corrections is -0.401 eV per atom. As for the distance to the lowest polymorph of the same formula: 0.3137 eV/atom. As for the space group: No. 123.

POSCAR file:
```
NaLaSbI2
1.0
-4.383 1.429 -2.971
-0.993 -5.285 -1.077
-3.471 -0.356 4.949
I Sb Na La
2 1 1 1
Cartesian
-0.497 -2.642 -0.539
-2.191 0.715 -1.485
-1.735 -0.178 2.475
0.000 0.000 0.000
-4.424 -2.106 0.450
```


(17)
Computed, not measured: crystalline NaLaSnI2 at its relaxed geometry at the PBE-GGA level of DFT.

Computed properties:
The formation energy without anion corrections is -0.531 eV per atom. As for the space group: No. 123.

POSCAR file:
```
NaLaSnI2
1.0
6.304 0.000 0.000
0.000 6.324 0.000
0.000 0.000 6.304
I Na Sn La
2 1 1 1
Cartesian
0.000 0.000 3.152
3.152 0.000 0.000
3.152 3.162 3.152
0.000 3.162 0.000
0.000 0.000 0.000
```


(18)
Computed, not measured: crystalline NaSrLaI6 at its relaxed geometry at the PBE-GGA level of DFT.

Computed properties:
The formation energy without anion corrections is -1.499 eV per atom. As for the space group: No. 102.

POSCAR file:
```
NaSrLaI6
1.0
7.689 0.000 0.000
0.000 7.689 0.000
0.000 0.000 14.503
Na Sr La I
2 2 2 12
Cartesian
3.844 3.844 2.422
0.000 0.000 9.673
3.844 3.844 7.235
0.000 0.000 14.486
3.844 3.844 12.091
0.000 0.000 4.839
1.499 6.190 7.215
6.190 1.499 7.215
2.345 2.345 14.466
5.344 5.344 14.466
1.517 6.172 2.494
6.172 1.517 2.494
2.327 2.327 9.746
5.361 5.361 9.746
6.108 1.581 12.048
1.581 6.108 12.048
5.425 5.425 4.797
2.264 2.264 4.797
```


(19)
Computed, not measured: crystalline NaLaTeI at its relaxed geometry at the PBE-GGA level of DFT.

Computed properties:
The formation energy without anion corrections is -1.225 eV per atom. As for the space group: No. 156.

POSCAR file:
```
NaLaTeI
1.0
4.396 0.000 0.000
-2.198 3.807 0.000
0.000 0.000 8.537
Na La Te I
1 1 1 1
Cartesian
2.198 1.269 4.274
2.198 1.269 0.400
0.000 0.000 2.376
0.000 0.000 6.687
```


(20)
Computed, not measured: crystalline NaLaTe2I at its relaxed geometry at the PBE-GGA level of DFT.

Computed properties:
The formation energy without anion corrections is -0.867 eV per atom. As for the distance to the lowest polymorph of the same formula: 0.0000 eV/atom. As for the space group: No. 123.

POSCAR file:
```
NaLaTe2I
1.0
-2.887 3.053 4.526
-1.013 -5.331 2.950
5.541 0.657 3.091
I Na Te La
1 1 2 1
Cartesian
2.771 0.329 1.546
0.821 -0.810 5.284
-0.507 -2.665 1.475
-1.444 1.527 2.263
0.000 0.000 0.000
```